# ZnCuI2O GGA-PBE optimized geometry
# **Uncorrected energy**: -2.571 eV/atom
# **Theoretical density**: 5.75 Mg/m³
# **Total magnetization**: 1.0 Bohr magnetons per cell
# **Calculated volume**: 115 Å³/cell
data_ZnCuI2O
_chemical_formula_sum 'Zn1 Cu1 I2 O1'
_cell_length_a 5.6023
_cell_length_b 5.6023
_cell_length_c 3.6693
_cell_angle_alpha 90.00
_cell_angle_beta 90.00
_cell_angle_gamma 90.00
_symmetry_space_group_name_H-M 'P 4/m m m'
_symmetry_Int_Tables_number 123
_symmetry_space_group_name_Hall '-P 4 2'
loop_
_atom_site_label
_atom_site_fract_x
_atom_site_fract_y
_atom_site_fract_z
_atom_site_occupancy
Zn1 0.0000 0.0000 0.0000 1
Cu1 0.5000 0.5000 0.5000 1
I1 0.0000 0.5000 0.5000 1
O1 0.5000 0.5000 0.0000 1